No. 1
The following is a DFT calculation (PBE-GGA) of a relaxed structure of DyPuCd6.

abc: 4.9480 7.1395 11.0346
angles: 90.00 90.00 90.00
With the nearest neighbours (Å) after each atom.
Space group Amm2 (No. 38)
One atom of each set of equivalent atoms:
1 Dy 0.0000 0.0000 0.0000 [2 per cell]  12 Cd 3.23-3.60
2 Pu 0.5000 0.0000 0.2707 [2 per cell]  12 Cd 3.23-3.60
3 Cd 0.0000 0.0000 0.4613 [2 per cell]  8 Cd 3.05-3.35, 2 Pu 3.25
4 Cd 0.0000 0.2168 0.7304 [4 per cell]  7 Cd 3.05-3.35, 2 Pu 3.23, 2 Dy 3.25-3.35
5 Cd 0.5000 0.0000 0.8098 [2 per cell]  8 Cd 3.05-3.35, 2 Dy 3.24
6 Cd 0.5000 0.2166 0.5407 [4 per cell]  7 Cd 3.05-3.35, 2 Dy 3.23, 2 Pu 3.25-3.36

Properties
Uncorrected energy (eV per cell): -51.20
Calculated formation energy (eV/f.u.): -1.18
D(E_F) (states/eV/f.u.): 15.4

***

No. 2
The following is a DFT calculation (PBE-GGA) of a relaxed structure of Dy2PuCd6.

abc: 8.7620 8.7620 3.2944
angles: 90.00 90.00 120.00
With the nearest neighbours (Å) after each atom.
Space group P6/mmm (No. 191)
One atom of each set of equivalent atoms:
1 Dy 0.3333 0.6667 0.0000 [2 per cell]  2 Dy 3.29, 12 Cd 3.35
2 Pu 0.0000 0.0000 0.0000 [1 per cell]  2 Pu 3.29, 12 Cd 3.37
3 Cd 0.0000 0.3353 0.5000 [6 per cell]  3 Cd 2.89-2.94

Properties
Uncorrected energy (eV per cell): -31.13
Calculated formation energy (eV/f.u.): -2.10
D(E_F) (states/eV/f.u.): 14.0

***

No. 3
The following is a DFT calculation (PBE-GGA) of a relaxed structure of DyPuCd17.

abc: 10.0562 10.0562 15.1084
angles: 90.00 90.00 120.00
With the nearest neighbours (Å) after each atom.
Space group R3m (No. 160, hexagonal axes)
One atom of each set of equivalent atoms:
1 Dy 0.0000 0.0000 0.0000 [3 per cell]  13 Cd 3.34-3.50
2 Pu 0.0000 0.0000 0.6573 [3 per cell]  16 Cd 3.53-3.78
3 Cd 0.0000 0.0000 0.2208 [3 per cell]  4 Cd 2.94-3.02
4 Cd 0.0000 0.0000 0.4155 [3 per cell]  4 Cd 2.90-2.94
5 Cd 0.0308 0.3617 0.9918 [18 per cell]  8 Cd 2.92-3.24
6 Cd 0.1767 0.3534 0.8021 [9 per cell]  7 Cd 2.86-3.02
7 Cd 0.1833 0.3665 0.1653 [9 per cell]  9 Cd 2.90-3.09
8 Cd 0.1956 0.3911 0.5067 [9 per cell]  6 Cd 2.86-3.09

Properties
Uncorrected energy (eV per cell): -107.26
Calculated formation energy (eV/f.u.): -1.26
D(E_F) (states/eV/f.u.): 21.2

***

No. 4
The following is a DFT calculation (PBE-GGA) of a relaxed structure of Dy5PuCd4.

abc: 3.6768 3.6768 19.9217
angles: 90.00 90.00 90.00
With the nearest neighbours (Å) after each atom.
Space group P4/mmm (No. 123)
One atom of each set of equivalent atoms:
1 Dy 0.0000 0.0000 0.0000 [1 per cell]  8 Cd 3.23
2 Dy 0.0000 0.0000 0.1920 [2 per cell]  8 Cd 3.23-3.25
3 Dy 0.0000 0.0000 0.3862 [2 per cell]  4 Cd 3.23, 4 Pu 3.45
4 Pu 0.5000 0.5000 0.5000 [1 per cell]  8 Dy 3.45, 4 Pu 3.68
5 Cd 0.5000 0.5000 0.0960 [2 per cell]  8 Dy 3.23
6 Cd 0.5000 0.5000 0.2903 [2 per cell]  8 Dy 3.23-3.25

Properties
Uncorrected energy (eV per cell): -43.06
Calculated formation energy (eV/f.u.): -2.05
D(E_F) (states/eV/f.u.): 15.6

***

No. 5
The following is a DFT calculation (PBE-GGA) of a relaxed structure of Dy4PuCd5.

abc: 3.7383 3.7383 18.8601
angles: 90.00 90.00 90.00
With the nearest neighbours (Å) after each atom.
Space group P4/mmm (No. 123)
One atom of each set of equivalent atoms:
1 Dy 0.0000 0.0000 0.0993 [2 per cell]  8 Cd 3.24
2 Dy 0.0000 0.0000 0.2978 [2 per cell]  8 Cd 3.20-3.24
3 Pu 0.0000 0.0000 0.5000 [1 per cell]  8 Cd 3.32
4 Cd 0.5000 0.5000 0.0000 [1 per cell]  8 Dy 3.24
5 Cd 0.5000 0.5000 0.1986 [2 per cell]  8 Dy 3.24
6 Cd 0.5000 0.5000 0.3937 [2 per cell]  4 Dy 3.20, 4 Pu 3.32

Properties
Uncorrected energy (eV per cell): -39.70
Calculated formation energy (eV/f.u.): -2.39
D(E_F) (states/eV/f.u.): 15.7

***

No. 6
The following is a DFT calculation (PBE-GGA) of a relaxed structure of DyPuCdSi.

abc: 7.2531 7.2531 7.2531
angles: 90.00 90.00 90.00
With the nearest neighbours (Å) after each atom.
Space group F-43m (No. 216)
One atom of each set of equivalent atoms:
1 Dy 0.0000 0.0000 0.0000 [4 per cell]  4 Cd 3.14, 4 Si 3.14
2 Pu 0.0000 0.0000 0.5000 [4 per cell]  4 Cd 3.14, 4 Si 3.14
3 Cd 0.2500 0.2500 0.2500 [4 per cell]  4 Dy 3.14, 4 Pu 3.14
4 Si 0.2500 0.2500 0.7500 [4 per cell]  4 Dy 3.14, 4 Pu 3.14

Properties
Formation energy (no corrections) (meV per atom): -226
Uncorrected energy (eV per cell): -104.71
D(E_F) (states/eV/f.u.): 9.6

***

No. 7
The following is a DFT calculation (PBE-GGA) of a relaxed structure of TbDyPuCd.

abc: 7.6441 7.6441 7.6441
angles: 90.00 90.00 90.00
With the nearest neighbours (Å) after each atom.
Space group F-43m (No. 216)
One atom of each set of equivalent atoms:
1 Tb 0.0000 0.0000 0.0000 [4 per cell]  4 Pu 3.31, 4 Cd 3.31
2 Dy 0.0000 0.0000 0.5000 [4 per cell]  4 Cd 3.31, 4 Pu 3.31
3 Pu 0.2500 0.2500 0.2500 [4 per cell]  4 Dy 3.31, 4 Tb 3.31
4 Cd 0.2500 0.2500 0.7500 [4 per cell]  4 Tb 3.31, 4 Dy 3.31

Properties
Uncorrected energy (eV per cell): -96.81
Calculated formation energy (eV/f.u.): 0.28
D(E_F) (states/eV/f.u.): 14.1

***

No. 8
The following is a DFT calculation (PBE-GGA) of a relaxed structure of DyPuCdTc.

abc: 7.1271 7.1271 7.1271
angles: 90.00 90.00 90.00
With the nearest neighbours (Å) after each atom.
Space group F-43m (No. 216)
One atom of each set of equivalent atoms:
1 Dy 0.0000 0.0000 0.0000 [4 per cell]  4 Cd 3.09, 4 Tc 3.09
2 Pu 0.0000 0.0000 0.5000 [4 per cell]  4 Tc 3.09, 4 Cd 3.09
3 Cd 0.2500 0.2500 0.2500 [4 per cell]  4 Pu 3.09, 4 Dy 3.09
4 Tc 0.2500 0.2500 0.7500 [4 per cell]  4 Dy 3.09, 4 Pu 3.09

Properties
Uncorrected energy (eV per cell): -119.35
Calculated formation energy (eV/f.u.): 0.38
D(E_F) (states/eV/f.u.): 10.2

***

No. 9
The following is a DFT calculation (PBE-GGA) of a relaxed structure of DyPuTlCd.

abc: 7.5840 7.5840 7.5840
angles: 90.00 90.00 90.00
With the nearest neighbours (Å) after each atom.
Space group F-43m (No. 216)
One atom of each set of equivalent atoms:
1 Dy 0.0000 0.0000 0.0000 [4 per cell]  4 Cd 3.28, 4 Tl 3.28
2 Pu 0.0000 0.0000 0.5000 [4 per cell]  4 Cd 3.28, 4 Tl 3.28
3 Tl 0.2500 0.2500 0.7500 [4 per cell]  4 Dy 3.28, 4 Pu 3.28
4 Cd 0.2500 0.2500 0.2500 [4 per cell]  4 Dy 3.28, 4 Pu 3.28

Properties
Uncorrected energy (eV per cell): -91.10
Calculated formation energy (eV/f.u.): -0.56
D(E_F) (states/eV/f.u.): 9.2

***

No. 10
The following is a DFT calculation (PBE-GGA) of a relaxed structure of DyTmPuCd.

abc: 7.5956 7.5956 7.5956
angles: 90.00 90.00 90.00
With the nearest neighbours (Å) after each atom.
Space group F-43m (No. 216)
One atom of each set of equivalent atoms:
1 Dy 0.0000 0.0000 0.0000 [4 per cell]  4 Cd 3.29, 4 Pu 3.29
2 Tm 0.0000 0.0000 0.5000 [4 per cell]  4 Cd 3.29, 4 Pu 3.29
3 Pu 0.2500 0.2500 0.2500 [4 per cell]  4 Dy 3.29, 4 Tm 3.29
4 Cd 0.2500 0.2500 0.7500 [4 per cell]  4 Dy 3.29, 4 Tm 3.29

Properties
Uncorrected energy (eV per cell): -96.11
Calculated formation energy (eV/f.u.): 0.29
D(E_F) (states/eV/f.u.): 13.3

***

No. 11
The following is a DFT calculation (PBE-GGA) of a relaxed structure of DyYPuCd.

abc: 7.6492 7.6492 7.6492
angles: 90.00 90.00 90.00
With the nearest neighbours (Å) after each atom.
Space group F-43m (No. 216)
One atom of each set of equivalent atoms:
1 Dy 0.0000 0.0000 0.0000 [4 per cell]  4 Cd 3.31, 4 Pu 3.31
2 Y 0.0000 0.0000 0.5000 [4 per cell]  4 Cd 3.31, 4 Pu 3.31
3 Pu 0.2500 0.2500 0.7500 [4 per cell]  4 Dy 3.31, 4 Y 3.31
4 Cd 0.2500 0.2500 0.2500 [4 per cell]  4 Dy 3.31, 4 Y 3.31

Properties
Uncorrected energy (eV per cell): -104.14
Calculated formation energy (eV/f.u.): 0.28
D(E_F) (states/eV/f.u.): 13.9

***

No. 12
The following is a DFT calculation (PBE-GGA) of a relaxed structure of RbDyCd17.

abc: 10.2433 10.2433 15.1840
angles: 90.00 90.00 120.00
With the nearest neighbours (Å) after each atom.
Space group R3m (No. 160, hexagonal axes)
One atom of each set of equivalent atoms:
1 Rb 0.0000 0.0000 0.0000 [3 per cell]  16 Cd 3.64-3.76
2 Dy 0.0000 0.0000 0.3347 [3 per cell]  13 Cd 3.35-3.59
3 Cd 0.0000 0.0000 0.5551 [3 per cell]  7 Cd 3.01-3.28, 1 Dy 3.35
4 Cd 0.0000 0.0000 0.7531 [3 per cell]  10 Cd 3.01-3.33
5 Cd 0.0386 0.3683 0.3300 [18 per cell]  7 Cd 2.96-3.27
6 Cd 0.1757 0.3514 0.1389 [9 per cell]  9 Cd 2.94-3.27
7 Cd 0.1789 0.3578 0.5014 [9 per cell]  10 Cd 2.96-3.28
8 Cd 0.1913 0.3827 0.8501 [9 per cell]  6 Cd 2.94-3.13

Properties
Uncorrected energy (eV per cell): -67.10
Calculated formation energy (eV/f.u.): -1.24
D(E_F) (states/eV/f.u.): 7.6